# 1
Computed, not measured: a relaxed structure of CdPdSO at the PBE-GGA level of DFT.

Structure (CIF):
```
data_CdPdSO
_cell_length_a 6.819
_cell_length_b 8.024
_cell_length_c 5.098
_cell_angle_alpha 90.00
_cell_angle_beta 90.00
_cell_angle_gamma 90.00
_space_group_name_H-M_alt 'P c a 21'
_space_group_IT_number 29
loop_
_space_group_symop_operation_xyz
'x,y,z'
'-x,-y,z+1/2'
'-x+1/2,y,z+1/2'
'x+1/2,-y,z'
loop_
_atom_site_label
_atom_site_type_symbol
_atom_site_fract_x
_atom_site_fract_y
_atom_site_fract_z
Cd1 Cd 0.094 0.124 0.000
Pd1 Pd 0.153 0.717 0.047
S1 S 0.057 0.601 0.656
O1 O 0.082 0.110 0.541
```

Results
For the energy above the most stable polymorph in this dataset, the calculation gives 4.0 kJ/mol of atoms. The crystal system is orthorhombic.


# 2
Computed, not measured: a relaxed structure of CdPdSO at the PBE-GGA level of DFT.

Structure (CIF):
```
data_CdPdSO
_cell_length_a 3.345
_cell_length_b 13.292
_cell_length_c 5.622
_cell_angle_alpha 90.00
_cell_angle_beta 90.00
_cell_angle_gamma 90.00
_space_group_name_H-M_alt 'C m c m'
_space_group_IT_number 63
_space_group_name_Hall '-C 2c 2'
loop_
_atom_site_label
_atom_site_type_symbol
_atom_site_fract_x
_atom_site_fract_y
_atom_site_fract_z
Cd1 Cd 0.000 0.062 0.250
Pd1 Pd 0.000 0.351 0.250
S1 S 0.000 0.269 0.750
O1 O 0.000 0.500 0.000
```

Results
For the energy above the most stable polymorph in this dataset, the calculation gives 27.3 kJ/mol of atoms. The crystal system is orthorhombic.


# 3
Computed, not measured: a relaxed structure of CdPdSO at the PBE-GGA level of DFT.

Structure (CIF):
```
data_CdPdSO
_cell_length_a 4.101
_cell_length_b 4.101
_cell_length_c 8.190
_cell_angle_alpha 90.00
_cell_angle_beta 90.00
_cell_angle_gamma 90.00
_space_group_name_H-M_alt 'P 4/n m m'
_space_group_IT_number 129
loop_
_space_group_symop_operation_xyz
'x,y,z'
'-x,-y,-z'
'-y+1/2,x,z'
'y+1/2,-x,-z'
'-x+1/2,-y+1/2,z'
'x+1/2,y+1/2,-z'
'y,-x+1/2,z'
'-y,x+1/2,-z'
'x+1/2,-y,-z'
'-x+1/2,y,z'
'-y,-x,-z'
'y,x,z'
'-x,y+1/2,-z'
'x,-y+1/2,z'
'y+1/2,x+1/2,-z'
'-y+1/2,-x+1/2,z'
loop_
_atom_site_label
_atom_site_type_symbol
_atom_site_fract_x
_atom_site_fract_y
_atom_site_fract_z
Cd1 Cd 0.250 0.250 0.163
Pd1 Pd 0.250 0.250 0.535
S1 S 0.250 0.250 0.845
O1 O 0.250 0.750 0.500
```

Results
For the energy above the most stable polymorph in this dataset, the calculation gives 30.8 kJ/mol of atoms. The crystal system is tetragonal.


# 4
Computed, not measured: a relaxed structure of CdPdSO at the PBE-GGA level of DFT.

Structure (CIF):
```
data_CdPdSO
_cell_length_a 3.707
_cell_length_b 3.707
_cell_length_c 9.870
_cell_angle_alpha 90.00
_cell_angle_beta 90.00
_cell_angle_gamma 90.00
_space_group_name_H-M_alt 'P 4/n m m'
_space_group_IT_number 129
loop_
_space_group_symop_operation_xyz
'x,y,z'
'-x,-y,-z'
'-y+1/2,x,z'
'y+1/2,-x,-z'
'-x+1/2,-y+1/2,z'
'x+1/2,y+1/2,-z'
'y,-x+1/2,z'
'-y,x+1/2,-z'
'x+1/2,-y,-z'
'-x+1/2,y,z'
'-y,-x,-z'
'y,x,z'
'-x,y+1/2,-z'
'x,-y+1/2,z'
'y+1/2,x+1/2,-z'
'-y+1/2,-x+1/2,z'
loop_
_atom_site_label
_atom_site_type_symbol
_atom_site_fract_x
_atom_site_fract_y
_atom_site_fract_z
Cd1 Cd 0.250 0.250 0.118
Pd1 Pd 0.250 0.250 0.623
S1 S 0.250 0.250 0.374
O1 O 0.250 0.750 0.000
```

Results
For the energy above the most stable polymorph in this dataset, the calculation gives 26.6 kJ/mol of atoms. The crystal system is tetragonal.